The following is a GGA-PBE calculation of crystalline CaSn2P2Pd7 at its relaxed geometry, from Alexandria.

Output
Its spin magnetization is 0.000 μB per formula unit. The calculated density comes out at 8.01 g/cm3. The calculation puts the formation energy from the elements at -0.56 eV per atom.

a = 4.458 Å, b = 4.458 Å, c = 11.367 Å
α = 90.32°, β = 90.32°, γ = 84.48°
Fractional coordinates of all 12 atoms:
Ca1 0.000 0.000 0.000
Sn1 0.161 0.161 0.608
Sn2 0.839 0.839 0.392
P1 0.335 0.335 0.176
P2 0.665 0.665 0.824
Pd1 0.161 0.664 0.757
Pd2 0.336 0.839 0.243
Pd3 0.352 0.352 0.403
Pd4 0.500 0.500 0.000
Pd5 0.648 0.648 0.597
Pd6 0.664 0.161 0.757
Pd7 0.839 0.336 0.243